A plane-wave DFT calculation with PBE+U was carried out for a geometry-optimized Li3V2Fe2O8 structure.

## Properties
magnetization = 9.00 μB/f.u.
crystal system = triclinic
E_tot = -6.539 eV per atom

Unit cell a=5.8320 b=5.9252 c=5.9311 alpha=119.53 beta=90.65 gamma=119.10
Fractional positions:
Li 0.0000 0.0000 0.0000
Li 0.0000 0.0000 0.5000
Li 0.5000 0.5000 0.0000
V 0.0000 0.5000 0.5000
V 0.5000 0.0000 0.0000
Fe 0.5000 0.0000 0.5000
Fe 0.5000 0.5000 0.5000
O 0.2454 0.5046 0.7213
O 0.2480 0.9795 0.7407
O 0.2640 0.5205 0.2820
O 0.2851 0.0405 0.2640
O 0.7149 0.9595 0.7360
O 0.7360 0.4795 0.7180
O 0.7520 0.0205 0.2593
O 0.7546 0.4954 0.2787


A plane-wave DFT calculation with PBE+U was carried out for a geometry-optimized Li2V2FeO6 structure.

## Properties
magnetization = 4.00 μB/f.u.
crystal system = monoclinic
E_tot = -6.697 eV per atom

Unit cell a=5.1315 b=5.1315 c=10.1245 alpha=92.09 beta=92.09 gamma=58.01
Fractional positions:
Li 0.0296 0.3126 0.2520
Li 0.3126 0.0296 0.7520
Li 0.6874 0.9704 0.2480
Li 0.9704 0.6874 0.7480
V 0.1839 0.6569 0.4896
V 0.3431 0.8161 0.0104
V 0.6569 0.1839 0.9896
V 0.8161 0.3431 0.5104
Fe 0.0000 0.5000 0.0000
Fe 0.5000 0.0000 0.5000
O 0.0108 0.1574 0.9008
O 0.1574 0.0108 0.4008
O 0.1725 0.3427 0.6062
O 0.3114 0.4998 0.8921
O 0.3427 0.1725 0.1062
O 0.4998 0.3114 0.3921
O 0.5002 0.6886 0.6079
O 0.6573 0.8275 0.8938
O 0.6886 0.5002 0.1079
O 0.8275 0.6573 0.3938
O 0.8426 0.9892 0.5992
O 0.9892 0.8426 0.0992


A plane-wave DFT calculation with PBE+U was carried out for a geometry-optimized Li4V3FeO8 structure.

## Properties
magnetization = 11.00 μB/f.u.
crystal system = trigonal
E_tot = -6.718 eV per atom

Unit cell a=5.9956 b=5.9956 c=5.9956 alpha=59.89 beta=59.89 gamma=59.89
Fractional positions:
Li 0.0000 0.0000 0.0000
Li 0.0000 0.5000 0.5000
Li 0.5000 0.0000 0.5000
Li 0.5000 0.5000 0.0000
V 0.0000 0.0000 0.5000
V 0.0000 0.5000 0.0000
V 0.5000 0.0000 0.0000
Fe 0.5000 0.5000 0.5000
O 0.2422 0.2422 0.2422
O 0.2447 0.7426 0.7426
O 0.2574 0.2574 0.7553
O 0.2574 0.7553 0.2574
O 0.7426 0.2447 0.7426
O 0.7426 0.7426 0.2447
O 0.7553 0.2574 0.2574
O 0.7578 0.7578 0.7578